La2GaHgH: optimized geometry, GGA-PBE.

Unit cell a=4.994 b=4.994 c=4.547 alpha=90.00 beta=90.00 gamma=90.00
Fractional positions:
La (0.000, 0.500, 0.000)
La (0.500, 0.000, 0.000)
Ga (0.000, 0.000, 0.500)
Hg (0.500, 0.500, 0.500)
H (0.500, 0.500, 0.000)



ScTl2Os: optimized geometry, GGA-PBE.

## Properties
For the formation energy from the elements, the calculation gives 0.380 eV per atom.

Unit cell a=5.314 b=5.314 c=5.314 alpha=131.93 beta=131.93 gamma=70.33
Fractional positions:
Sc (0.000, 0.000, 0.000)
Tl (0.250, 0.750, 0.500)
Tl (0.500, 0.500, 0.000)
Os (0.750, 0.250, 0.500)



LiY2Sb2: optimized geometry, GGA-PBE.

## Properties
The raw formation energy is -4.256 eV per formula unit.

Unit cell a=8.096 b=8.096 c=4.134 alpha=90.00 beta=90.00 gamma=90.00
Fractional positions:
Li (0.000, 0.000, 0.000)
Li (0.500, 0.500, 0.000)
Y (0.152, 0.348, 0.500)
Y (0.348, 0.848, 0.500)
Y (0.652, 0.152, 0.500)
Y (0.848, 0.652, 0.500)
Sb (0.156, 0.656, 0.000)
Sb (0.344, 0.156, 0.000)
Sb (0.656, 0.844, 0.000)
Sb (0.844, 0.344, 0.000)



NdSm3Tl: optimized geometry, GGA-PBE.

## Properties
For the formation energy from the elements, the calculation gives -0.054 eV per atom.

Unit cell a=9.557 b=9.557 c=5.848 alpha=90.00 beta=90.00 gamma=144.18
Fractional positions:
Nd (0.146, 0.854, 0.750)
Nd (0.854, 0.146, 0.250)
Sm (0.055, 0.945, 0.250)
Sm (0.251, 0.749, 0.250)
Sm (0.445, 0.555, 0.250)
Sm (0.555, 0.445, 0.750)
Sm (0.749, 0.251, 0.750)
Sm (0.945, 0.055, 0.750)
Tl (0.349, 0.651, 0.750)
Tl (0.651, 0.349, 0.250)



Number 1: DFT total energy -3.725 eV per atom, relative energy among the computed polymorphs 0.0037 eV/atom. Number 2: DFT total energy -5.193 eV per atom, relative energy among the computed polymorphs 0.2329 eV/atom. Number 3: DFT total energy -5.468 eV per atom, relative energy among the computed polymorphs 0.0000 eV/atom. Number 4: DFT total energy -4.313 eV per atom, relative energy among the computed polymorphs 0.0286 eV/atom.